Below is an optimized crystal structure of Rb2ZrS4, with properties calculated at the GGA-PBE level.

Values from the calculation:
Energy (eV per atom): -5.134
Symmetry: No. 61
Size of the total moment (μB/cell): 0.0

Unit cell a=9.859 b=6.785 c=24.327 alpha=90.00 beta=90.00 gamma=90.00
Fractional coordinates of all 56 atoms:
Rb: 0.432 0.948 0.300
Rb: 0.860 0.305 0.534
Rb: 0.568 0.448 0.200
Rb: 0.932 0.552 0.700
Rb: 0.068 0.052 0.800
Rb: 0.932 0.948 0.200
Rb: 0.360 0.195 0.466
Rb: 0.640 0.695 0.034
Rb: 0.432 0.552 0.800
Rb: 0.068 0.448 0.300
Rb: 0.140 0.695 0.466
Rb: 0.640 0.805 0.534
Rb: 0.140 0.805 0.966
Rb: 0.860 0.195 0.034
Rb: 0.360 0.305 0.966
Rb: 0.568 0.052 0.700
S: 0.738 0.719 0.299
S: 0.238 0.719 0.201
S: 0.582 0.945 0.159
S: 0.762 0.281 0.799
S: 0.326 0.652 0.067
S: 0.082 0.945 0.341
S: 0.174 0.348 0.567
S: 0.956 0.627 0.090
S: 0.044 0.373 0.910
S: 0.082 0.555 0.841
S: 0.238 0.781 0.701
S: 0.174 0.152 0.067
S: 0.918 0.445 0.159
S: 0.762 0.219 0.299
S: 0.738 0.781 0.799
S: 0.956 0.873 0.590
S: 0.826 0.652 0.433
S: 0.262 0.281 0.701
S: 0.044 0.127 0.410
S: 0.544 0.127 0.090
S: 0.826 0.848 0.933
S: 0.582 0.555 0.659
S: 0.456 0.627 0.410
S: 0.674 0.348 0.933
S: 0.456 0.873 0.910
S: 0.326 0.848 0.567
S: 0.544 0.373 0.590
S: 0.262 0.219 0.201
S: 0.418 0.055 0.841
S: 0.674 0.152 0.433
S: 0.418 0.445 0.341
S: 0.918 0.055 0.659
Zr: 0.828 0.540 0.870
Zr: 0.828 0.960 0.370
Zr: 0.328 0.540 0.630
Zr: 0.672 0.040 0.870
Zr: 0.172 0.460 0.130
Zr: 0.672 0.460 0.370
Zr: 0.328 0.960 0.130
Zr: 0.172 0.040 0.630

***

Below is an optimized crystal structure of Rb3ZrS3, with properties calculated at the GGA-PBE level.

Values from the calculation:
Energy (eV per atom): -4.693
Symmetry: No. 12
Size of the total moment (μB/cell): 0.0

Unit cell a=8.244 b=8.244 c=7.948 alpha=96.76 beta=96.76 gamma=113.40
Fractional coordinates of all 14 atoms:
S: 0.596 0.596 0.311
S: 0.059 0.349 0.229
S: 0.349 0.059 0.229
S: 0.941 0.651 0.771
S: 0.404 0.404 0.689
S: 0.651 0.941 0.771
Rb: 0.887 0.887 0.152
Rb: 0.762 0.238 0.500
Rb: 0.674 0.326 0.000
Rb: 0.238 0.762 0.500
Rb: 0.113 0.113 0.848
Rb: 0.326 0.674 0.000
Zr: 0.667 0.667 0.637
Zr: 0.333 0.333 0.363

***

Below is an optimized crystal structure of Rb2ZrS3, with properties calculated at the GGA-PBE level.

Values from the calculation:
Energy (eV per atom): -5.228
Symmetry: No. 11
Size of the total moment (μB/cell): 0.0

Unit cell a=8.021 b=3.915 c=10.702 alpha=90.00 beta=95.85 gamma=90.00
Fractional coordinates of all 12 atoms:
Rb: 0.918 0.250 0.354
Rb: 0.250 0.250 0.981
Rb: 0.750 0.750 0.019
Rb: 0.082 0.750 0.646
S: 0.543 0.250 0.218
S: 0.140 0.750 0.201
S: 0.860 0.250 0.799
S: 0.682 0.750 0.517
S: 0.457 0.750 0.782
S: 0.318 0.250 0.483
Zr: 0.596 0.250 0.667
Zr: 0.404 0.750 0.333

***

Below is an optimized crystal structure of Rb2ZrS3, with properties calculated at the GGA-PBE level.

Values from the calculation:
Energy (eV per atom): -5.228
Symmetry: No. 11
Size of the total moment (μB/cell): 0.0

Unit cell a=8.008 b=3.923 c=10.685 alpha=90.00 beta=95.81 gamma=90.00
Fractional coordinates of all 12 atoms:
S: 0.360 0.250 0.299
S: 0.640 0.750 0.701
S: 0.042 0.250 0.718
S: 0.182 0.750 0.017
S: 0.958 0.750 0.282
S: 0.818 0.250 0.983
Rb: 0.417 0.250 0.854
Rb: 0.749 0.250 0.480
Rb: 0.583 0.750 0.146
Rb: 0.251 0.750 0.520
Zr: 0.096 0.250 0.167
Zr: 0.904 0.750 0.833

***

Below is an optimized crystal structure of Rb2ZrS3, with properties calculated at the GGA-PBE level.

Values from the calculation:
Energy (eV per atom): -4.988
Symmetry: No. 65
Size of the total moment (μB/cell): 0.0

Unit cell a=9.434 b=9.434 c=5.664 alpha=90.00 beta=90.00 gamma=156.37
Fractional coordinates of all 6 atoms:
Rb: 0.362 0.638 0.000
Rb: 0.638 0.362 0.000
S: 0.593 0.407 0.500
S: 0.000 0.000 0.000
S: 0.407 0.593 0.500
Zr: 0.000 0.000 0.500

***

Below is an optimized crystal structure of RbSmSbSe3, with properties calculated at the GGA-PBE level.

Values from the calculation:
Energy (eV per atom): -4.324
Symmetry: No. 63
Size of the total moment (μB/cell): 0.1

Unit cell a=8.561 b=8.561 c=11.003 alpha=90.00 beta=90.00 gamma=150.50
Fractional coordinates of all 12 atoms:
Sm: 0.500 0.500 0.000
Sm: 0.500 0.500 0.500
Se: 0.122 0.878 0.465
Se: 0.591 0.409 0.750
Se: 0.878 0.122 0.535
Se: 0.409 0.591 0.250
Se: 0.122 0.878 0.035
Se: 0.878 0.122 0.965
Sb: 0.038 0.962 0.250
Sb: 0.962 0.038 0.750
Rb: 0.747 0.253 0.250
Rb: 0.253 0.747 0.750

***

Below is an optimized crystal structure of Rb2TcSbSe6, with properties calculated at the GGA-PBE level.

Values from the calculation:
Energy (eV per atom): -4.010
Symmetry: No. 87
Size of the total moment (μB/cell): 0.6

Unit cell a=7.539 b=7.539 c=7.539 alpha=124.48 beta=124.48 gamma=82.39
Last column: magnetic moment on the atom in μB.
Fractional coordinates of all 10 atoms:
Rb: 0.250 0.750 0.500  0.00
Rb: 0.750 0.250 0.500  0.00
Sb: 0.000 0.000 0.000  0.00
Se: 0.819 0.652 0.471  0.00
Se: 0.348 0.819 0.167  0.00
Se: 0.736 0.736 0.000  -0.03
Se: 0.264 0.264 0.000  -0.03
Se: 0.652 0.181 0.833  0.00
Se: 0.181 0.348 0.529  0.00
Tc: 0.500 0.500 0.000  0.61

***

Below is an optimized crystal structure of RbSmSbTe3, with properties calculated at the GGA-PBE level.

Values from the calculation:
Energy (eV per atom): -3.944
Symmetry: No. 63
Size of the total moment (μB/cell): 0.0

Unit cell a=9.134 b=9.134 c=11.455 alpha=90.00 beta=90.00 gamma=151.07
Fractional coordinates of all 12 atoms:
Te: 0.874 0.126 0.534
Te: 0.126 0.874 0.034
Te: 0.596 0.404 0.750
Te: 0.404 0.596 0.250
Te: 0.126 0.874 0.466
Te: 0.874 0.126 0.966
Sb: 0.966 0.034 0.750
Sb: 0.034 0.966 0.250
Sm: 0.500 0.500 0.500
Sm: 0.500 0.500 0.000
Rb: 0.736 0.264 0.250
Rb: 0.264 0.736 0.750

***

Below is an optimized crystal structure of RbTaSb, with properties calculated at the GGA-PBE level.

Values from the calculation:
Energy (eV per atom): -3.586
Symmetry: No. 216
ΔE to the lowest computed polymorph (meV/atom): 874.4
Size of the total moment (μB/cell): 3.0

Unit cell a=5.294 b=5.294 c=5.294 alpha=60.00 beta=60.00 gamma=60.00
Fractional coordinates of all 3 atoms:
Rb: 0.000 0.000 0.000
Ta: 0.750 0.750 0.750
Sb: 0.250 0.250 0.250

***

Below is an optimized crystal structure of RbTaSb4, with properties calculated at the GGA-PBE level.

Values from the calculation:
Energy (eV per atom): -4.982
Symmetry: No. 8
Size of the total moment (μB/cell): 0.0

Unit cell a=5.399 b=5.399 c=10.412 alpha=105.16 beta=105.16 gamma=43.33
Fractional coordinates of all 6 atoms:
Sb: 0.439 0.439 0.671
Sb: 0.621 0.621 0.495
Sb: 0.131 0.131 0.970
Sb: 0.814 0.814 0.894
Ta: 0.152 0.152 0.698
Rb: 0.843 0.843 0.272

***

Below is an optimized crystal structure of RbTaSb, with properties calculated at the GGA-PBE level.

Values from the calculation:
Energy (eV per atom): -4.460
Symmetry: No. 216
ΔE to the lowest computed polymorph (meV/atom): 0.0
Size of the total moment (μB/cell): 2.8

Unit cell a=5.076 b=5.076 c=5.076 alpha=60.00 beta=60.00 gamma=60.00
Fractional coordinates of all 3 atoms:
Rb: 0.250 0.250 0.250
Ta: 0.000 0.000 0.000
Sb: 0.750 0.750 0.750

***

Below is an optimized crystal structure of RbTa3Sb5, with properties calculated at the GGA-PBE level.

Values from the calculation:
Energy (eV per atom): -6.544
Symmetry: No. 191
Size of the total moment (μB/cell): 0.0

Unit cell a=5.795 b=5.795 c=9.394 alpha=90.00 beta=90.00 gamma=120.00
Fractional coordinates of all 9 atoms:
Ta: 0.500 0.000 0.500
Ta: 0.500 0.500 0.500
Ta: 0.000 0.500 0.500
Sb: 0.667 0.333 0.753
Sb: 0.667 0.333 0.247
Sb: 0.000 0.000 0.500
Sb: 0.333 0.667 0.247
Sb: 0.333 0.667 0.753
Rb: 0.000 0.000 0.000

***

Below is an optimized crystal structure of RbTmSbTe3, with properties calculated at the GGA-PBE level.

Values from the calculation:
Energy (eV per atom): -3.854
Symmetry: No. 63
Size of the total moment (μB/cell): 0.0

Unit cell a=9.004 b=9.004 c=11.868 alpha=90.00 beta=90.00 gamma=152.02
Fractional coordinates of all 12 atoms:
Tm: 0.000 0.000 0.000
Tm: 0.000 0.000 0.500
Rb: 0.760 0.240 0.250
Rb: 0.240 0.760 0.750
Te: 0.376 0.624 0.024
Te: 0.376 0.624 0.476
Te: 0.624 0.376 0.524
Te: 0.624 0.376 0.976
Te: 0.082 0.918 0.250
Te: 0.918 0.082 0.750
Sb: 0.548 0.452 0.750
Sb: 0.452 0.548 0.250

***

Below is an optimized crystal structure of RbSb5W3, with properties calculated at the GGA-PBE level.

Values from the calculation:
Energy (eV per atom): -6.557
Symmetry: No. 191
Size of the total moment (μB/cell): 0.0

Unit cell a=5.645 b=5.645 c=9.435 alpha=90.00 beta=90.00 gamma=120.00
Fractional coordinates of all 9 atoms:
W: 0.500 0.000 0.500
W: 0.500 0.500 0.500
W: 0.000 0.500 0.500
Sb: 0.667 0.333 0.749
Sb: 0.667 0.333 0.251
Sb: 0.000 0.000 0.500
Sb: 0.333 0.667 0.251
Sb: 0.333 0.667 0.749
Rb: 0.000 0.000 0.000

***

Below is an optimized crystal structure of RbSbW, with properties calculated at the GGA-PBE level.

Values from the calculation:
Energy (eV per atom): -4.480
Symmetry: No. 216
ΔE to the lowest computed polymorph (meV/atom): 0.0
Size of the total moment (μB/cell): 3.8

Unit cell a=5.136 b=5.136 c=5.136 alpha=60.00 beta=60.00 gamma=60.00
Last column: magnetic moment on the atom in μB.
Fractional coordinates of all 3 atoms:
Sb: 0.250 0.250 0.250  -0.12
W: 0.500 0.500 0.500  2.85
Rb: 0.750 0.750 0.750  0.09

***

Below is an optimized crystal structure of Rb2Sb2W, with properties calculated at the GGA-PBE level.

Values from the calculation:
Energy (eV per atom): -4.516
Symmetry: No. 63
Size of the total moment (μB/cell): 1.1

Unit cell a=9.108 b=9.108 c=5.599 alpha=90.00 beta=90.00 gamma=129.01
Last column: magnetic moment on the atom in μB.
Fractional coordinates of all 10 atoms:
Sb: 0.125 0.321 0.250  -0.01
Sb: 0.679 0.875 0.250  -0.01
Sb: 0.321 0.125 0.750  -0.01
Sb: 0.875 0.679 0.750  -0.01
Rb: 0.216 0.784 0.250  0.00
Rb: 0.784 0.216 0.750  0.00
Rb: 0.591 0.409 0.250  0.00
Rb: 0.409 0.591 0.750  0.00
W: 0.000 0.000 0.000  0.40
W: 0.000 0.000 0.500  0.42

***

Below is an optimized crystal structure of RbSbW, with properties calculated at the GGA-PBE level.

Values from the calculation:
Energy (eV per atom): -3.714
Symmetry: No. 216
ΔE to the lowest computed polymorph (meV/atom): 766.2
Size of the total moment (μB/cell): 4.0

Unit cell a=5.337 b=5.337 c=5.337 alpha=60.00 beta=60.00 gamma=60.00
Fractional coordinates of all 3 atoms:
Rb: 0.000 0.000 0.000
W: 0.750 0.750 0.750
Sb: 0.250 0.250 0.250

***

Below is an optimized crystal structure of Rb2Zn5Sb4, with properties calculated at the GGA-PBE level.

Values from the calculation:
Energy (eV per atom): -2.478
Symmetry: No. 63

Unit cell a=7.336 b=7.336 c=12.546 alpha=90.00 beta=90.00 gamma=63.00
Fractional coordinates of all 22 atoms:
Sb: 0.723 0.277 0.400
Sb: 0.277 0.723 0.600
Sb: 0.600 0.081 0.750
Sb: 0.277 0.723 0.900
Sb: 0.723 0.277 0.100
Sb: 0.919 0.400 0.750
Sb: 0.081 0.600 0.250
Sb: 0.400 0.919 0.250
Rb: 0.777 0.777 0.000
Rb: 0.223 0.223 0.000
Rb: 0.777 0.777 0.500
Rb: 0.223 0.223 0.500
Zn: 0.995 0.005 0.250
Zn: 0.464 0.254 0.250
Zn: 0.746 0.536 0.250
Zn: 0.254 0.464 0.750
Zn: 0.536 0.746 0.750
Zn: 0.005 0.995 0.750
Zn: 0.656 0.344 0.610
Zn: 0.656 0.344 0.890
Zn: 0.344 0.656 0.110
Zn: 0.344 0.656 0.390

***

Below is an optimized crystal structure of RbZrSb, with properties calculated at the GGA-PBE level.

Values from the calculation:
Energy (eV per atom): -3.286
Symmetry: No. 216
Size of the total moment (μB/cell): 2.0

Unit cell a=5.348 b=5.348 c=5.348 alpha=60.00 beta=60.00 gamma=60.00
Fractional coordinates of all 3 atoms:
Rb: 0.000 0.000 0.000
Sb: 0.250 0.250 0.250
Zr: 0.750 0.750 0.750

***

Below is an optimized crystal structure of RbZr3Sb5, with properties calculated at the GGA-PBE level.

Values from the calculation:
Energy (eV per atom): -5.656
Symmetry: No. 191
Size of the total moment (μB/cell): 0.0

Unit cell a=6.042 b=6.042 c=9.001 alpha=90.00 beta=90.00 gamma=120.00
Fractional coordinates of all 9 atoms:
Rb: 0.000 0.000 0.000
Zr: 0.000 0.500 0.500
Zr: 0.500 0.500 0.500
Zr: 0.500 0.000 0.500
Sb: 0.333 0.667 0.775
Sb: 0.667 0.333 0.225
Sb: 0.000 0.000 0.500
Sb: 0.667 0.333 0.775
Sb: 0.333 0.667 0.225

***

Below is an optimized crystal structure of RbZrSb, with properties calculated at the GGA-PBE level.

Values from the calculation:
Energy (eV per atom): -4.087
Symmetry: No. 216
Size of the total moment (μB/cell): 2.0

Unit cell a=5.333 b=5.333 c=5.333 alpha=60.00 beta=60.00 gamma=60.00
Last column: magnetic moment on the atom in μB.
Fractional coordinates of all 3 atoms:
Zr: 0.500 0.500 0.500  1.20
Rb: 0.000 0.000 0.000  0.04
Sb: 0.250 0.250 0.250  -0.10